1.
GGA-PBE GaBPS2, relaxed; raw formation energy = 1437 meV per atom; E_tot = -3.236 eV per atom; symmetry = P4/mmm, No. 123
1.0
-1.7815 -2.8787 -3.2937
0.1660 -3.5983 3.0551
-4.3349 1.0279 1.4462
P S B Ga
1 2 1 1
Cartesian
-2.1674 0.5139 0.7231
0.0830 -1.7991 1.5275
-0.8907 -1.4393 -1.6468
-2.9751 -2.7245 0.6038
0.0000 0.0000 0.0000

2.
GGA-PBE La2BeRuO6, relaxed; raw formation energy = -2371 meV per atom; E_tot = -7.632 eV per atom; symmetry = R-3m, No. 166
1.0
-4.1371 1.5533 -3.1360
-3.6857 -3.6284 -1.6164
-7.5307 1.0349 5.7657
La Be Ru O
4 2 2 12
Cartesian
-9.7376 -1.4036 -1.8938
-5.6159 0.3633 2.9071
-12.1032 -0.5739 1.6380
-3.2502 -0.4663 -0.6247
0.0000 0.0000 0.0000
-7.6767 -0.5201 0.5067
-6.3884 -0.9720 -1.4167
-8.9650 -0.0683 2.4300
-7.8453 0.3875 -1.1464
-7.6211 -2.1858 -0.3917
-5.7908 -0.3839 0.4110
-7.5082 -1.4277 2.1597
-7.7323 1.1455 1.4050
-9.5627 -0.6564 0.6023
-10.3613 1.3124 2.5145
-10.1260 -1.3898 3.3070
-8.2039 0.5024 4.1499
-4.9921 -2.3527 -1.5012
-5.2275 0.3496 -2.2936
-7.1496 -1.5426 -3.1366